The following is a SCAN calculation of a crystal of TaCuAu2 relaxed with PBEsol, from Alexandria.

Geometry as POSCAR:
```
TaCuAu2
1.0
4.6023 -1.3886 0.0000
4.6023 1.3886 0.0000
-0.7936 0.0000 4.9413
Ta Cu Au
1 1 2
Cartesian
0.0000 0.0000 0.0000 Ta
4.2055 0.0000 2.4706 Cu
1.6824 0.0000 3.6890 Au
6.7286 0.0000 1.2523 Au
```

Results
Space-group type = C2/m (12)
DFT formation energy = 0.057 eV per atom

---

The following is a SCAN calculation of a crystal of Ta2CuAu relaxed with PBEsol, from Alexandria.

Geometry as POSCAR:
```
Ta2CuAu
1.0
3.0223 0.0000 0.0000
0.0000 3.6037 0.0000
0.0000 0.0000 5.8772
Ta Cu Au
2 1 1
Cartesian
0.0000 0.0000 0.0000 Ta
1.5112 1.8018 1.5811 Ta
1.5112 1.8018 4.4934 Cu
0.0000 0.0000 3.1351 Au
```

Results
Space-group type = Pmm2 (25)
DFT formation energy = -0.081 eV per atom

---

The following is a SCAN calculation of a crystal of TaCuAu2 relaxed with PBEsol, from Alexandria.

Geometry as POSCAR:
```
TaCuAu2
1.0
4.8997 0.0000 0.0000
0.0000 2.7545 0.0000
-1.4499 0.0000 4.7389
Ta Cu Au
1 1 2
Cartesian
0.0000 0.0000 0.0000 Ta
-0.7250 1.3772 2.3694 Cu
1.7249 0.0000 2.3694 Au
2.4499 1.3772 0.0000 Au
```

Results
Space-group type = P2/m (10)
DFT formation energy = 0.174 eV per atom

---

The following is a SCAN calculation of a crystal of TaCuAu2 relaxed with PBEsol, from Alexandria.

Geometry as POSCAR:
```
TaCuAu2
1.0
2.8445 0.0000 0.0000
0.0000 2.8445 0.0000
0.0000 0.0000 7.7568
Ta Cu Au
1 1 2
Cartesian
0.0000 0.0000 0.0000 Ta
1.4222 1.4222 1.8112 Cu
0.0000 0.0000 3.5596 Au
1.4222 1.4222 5.7091 Au
```

Results
Space-group type = P4mm (99)
DFT formation energy = -0.066 eV per atom

---

The following is a SCAN calculation of a crystal of Ta2CuAu relaxed with PBEsol, from Alexandria.

Geometry as POSCAR:
```
Ta2CuAu
1.0
2.8228 0.0000 0.0000
0.0000 2.8228 0.0000
0.0000 0.0000 7.9831
Ta Cu Au
2 1 1
Cartesian
0.0000 0.0000 0.0000 Ta
1.4114 1.4114 2.2368 Ta
1.4114 1.4114 6.1414 Cu
0.0000 0.0000 4.3227 Au
```

Results
Space-group type = P4mm (99)
DFT formation energy = -0.067 eV per atom

---

The following is a SCAN calculation of a crystal of Ta2CuAu relaxed with PBEsol, from Alexandria.

Geometry as POSCAR:
```
Ta2CuAu
1.0
4.5494 -1.4660 0.0000
4.5494 1.4660 0.0000
-1.0268 0.0000 4.8392
Ta Cu Au
2 1 1
Cartesian
0.0000 0.0000 0.0000 Ta
6.5418 0.0000 1.2896 Ta
4.0164 0.0000 2.3991 Cu
1.4667 0.0000 3.6015 Au
```

Results
Space-group type = Cm (8)
DFT formation energy = 0.026 eV per atom

---

The following is a SCAN calculation of a crystal of TaCuAu2 relaxed with PBEsol, from Alexandria.

Geometry as POSCAR:
```
TaCuAu2
1.0
2.9162 0.0000 0.0000
0.0000 2.9162 0.0000
0.0000 0.0000 7.3100
Ta Cu Au
1 1 2
Cartesian
0.0000 0.0000 0.0000 Ta
0.0000 0.0000 3.6550 Cu
1.4581 1.4581 1.9678 Au
1.4581 1.4581 5.3422 Au
```

Results
Space-group type = P4/mmm (123)
DFT formation energy = -0.136 eV per atom

---

The following is a SCAN calculation of a crystal of Ta2CuAu relaxed with PBEsol, from Alexandria.

Geometry as POSCAR:
```
Ta2CuAu
1.0
1.9217 -2.0542 0.0000
1.9217 2.0542 0.0000
0.0000 0.0000 8.0621
Ta Cu Au
2 1 1
Cartesian
0.0000 0.0000 0.0000 Ta
1.9217 0.0000 2.2369 Ta
1.9217 0.0000 6.1953 Cu
0.0000 0.0000 4.3466 Au
```

Results
Space-group type = Cmm2 (35)
DFT formation energy = -0.066 eV per atom

---

The following is a SCAN calculation of a crystal of CuTc2Au relaxed with PBEsol, from Alexandria.

Geometry as POSCAR:
```
CuTc2Au
1.0
0.0000 3.0487 3.0487
3.0487 0.0000 3.0487
3.0487 3.0487 0.0000
Cu Tc Au
1 2 1
Cartesian
0.0000 0.0000 0.0000 Cu
1.5244 1.5244 1.5244 Tc
4.5731 4.5731 4.5731 Tc
3.0487 3.0487 3.0487 Au
```

Results
Space-group type = Fm-3m (225)
DFT formation energy = 0.579 eV per atom
Distance to the lowest polymorph of the same formula = 0.484 eV per atom

---

The following is a SCAN calculation of a crystal of CuTc2Au relaxed with PBEsol, from Alexandria.

Geometry as POSCAR:
```
CuTc2Au
1.0
1.3458 0.7770 9.0225
-1.3458 0.7770 9.0225
0.0000 -1.5540 9.0225
Cu Tc Au
1 2 1
Cartesian
0.0000 0.0000 0.0000 Cu
0.0000 0.0000 6.8895 Tc
0.0000 0.0000 20.1782 Tc
0.0000 0.0000 13.5338 Au
```

Results
Space-group type = R-3m (166)
DFT formation energy = 0.351 eV per atom
Distance to the lowest polymorph of the same formula = 0.256 eV per atom

---

The following is a SCAN calculation of a crystal of CuTc2Au relaxed with PBEsol, from Alexandria.

Geometry as POSCAR:
```
CuTc2Au
1.0
2.7586 0.0000 0.0000
0.0000 3.7472 0.0000
-0.0894 0.0000 5.4889
Cu Tc Au
1 2 1
Cartesian
0.0000 0.0000 0.0000 Cu
1.4271 1.8736 1.4317 Tc
2.6282 0.0000 2.5751 Tc
1.2923 1.8736 4.1970 Au
```

Results
Space-group type = Pm (6)
DFT formation energy = 0.143 eV per atom
Distance to the lowest polymorph of the same formula = 0.048 eV per atom

---

The following is a SCAN calculation of a crystal of CuTcAu2 relaxed with PBEsol, from Alexandria.

Geometry as POSCAR:
```
CuTcAu2
1.0
1.3887 0.8018 8.8850
-1.3887 0.8018 8.8850
0.0000 -1.6035 8.8850
Cu Tc Au
1 1 2
Cartesian
0.0000 0.0000 0.0000 Cu
0.0000 0.0000 13.3276 Tc
0.0000 0.0000 6.7362 Au
0.0000 0.0000 19.9190 Au
```

Results
Space-group type = R-3m (166)
DFT formation energy = 0.208 eV per atom
Distance to the lowest polymorph of the same formula = 0.000 eV per atom

---

The following is a SCAN calculation of a crystal of CuTcAu2 relaxed with PBEsol, from Alexandria.

Geometry as POSCAR:
```
CuTcAu2
1.0
4.8849 0.0000 0.0000
0.0000 2.6471 0.0000
-1.6620 0.0000 4.6376
Cu Tc Au
1 1 2
Cartesian
0.0000 0.0000 0.0000 Cu
-0.8310 1.3235 2.3188 Tc
1.6114 0.0000 2.3188 Au
2.4425 1.3235 0.0000 Au
```

Results
Space-group type = P2/m (10)
DFT formation energy = 0.343 eV per atom
Distance to the lowest polymorph of the same formula = 0.135 eV per atom

---

The following is a SCAN calculation of a crystal of CuTc2Au relaxed with PBEsol, from Alexandria.

Geometry as POSCAR:
```
CuTc2Au
1.0
1.3642 0.7876 8.8425
-1.3642 0.7876 8.8425
0.0000 -1.5753 8.8425
Cu Tc Au
1 2 1
Cartesian
0.0000 0.0000 0.0000 Cu
0.0000 0.0000 13.0437 Tc
0.0000 0.0000 19.8540 Tc
0.0000 0.0000 6.6445 Au
```

Results
Space-group type = R3m (160)
DFT formation energy = 0.095 eV per atom
Distance to the lowest polymorph of the same formula = 0.000 eV per atom

---

The following is a SCAN calculation of a crystal of CuTc2Au relaxed with PBEsol, from Alexandria.

Geometry as POSCAR:
```
CuTc2Au
1.0
2.7333 0.0000 0.0000
0.0000 4.0668 0.0000
0.0000 0.0000 5.0975
Cu Tc Au
1 2 1
Cartesian
0.0000 0.0000 0.0000 Cu
1.3667 2.0334 1.1316 Tc
1.3667 2.0334 3.9660 Tc
0.0000 0.0000 2.5488 Au
```

Results
Space-group type = Pmmm (47)
DFT formation energy = 0.242 eV per atom
Distance to the lowest polymorph of the same formula = 0.147 eV per atom

---

The following is a SCAN calculation of a crystal of Cu2TeAu relaxed with PBEsol, from Alexandria.

Geometry as POSCAR:
```
Cu2TeAu
1.0
4.1686 0.0000 0.0000
0.0000 4.1686 0.0000
0.0000 0.0000 3.7301
Cu Te Au
2 1 1
Cartesian
0.0000 2.0843 0.0000 Cu
2.0843 0.0000 0.0000 Cu
0.0000 0.0000 1.8650 Te
2.0843 2.0843 1.8650 Au
```

Results
Space-group type = P4/mmm (123)
ΔE_f (raw) = 0.13 eV per atom

---

The following is a SCAN calculation of a crystal of Cu2TeAu2 relaxed with PBEsol, from Alexandria.

Geometry as POSCAR:
```
Cu2TeAu2
1.0
-1.8206 1.8206 6.6172
1.8206 -1.8206 6.6172
1.8206 1.8206 -6.6172
Cu Te Au
2 1 2
Cartesian
1.8206 0.0000 3.3086 Cu
0.0000 1.8206 3.3086 Cu
0.0000 0.0000 0.0000 Te
0.0000 0.0000 5.1646 Au
0.0000 0.0000 8.0698 Au
```

Results
Space-group type = I4/mmm (139)
ΔE_f (raw) = 0.16 eV per atom

---

The following is a SCAN calculation of a crystal of Cu2TeAu relaxed with PBEsol, from Alexandria.

Geometry as POSCAR:
```
Cu2TeAu
1.0
-1.9252 1.9524 4.3288
1.9252 -1.9524 4.3288
1.9252 1.9524 -4.3288
Cu Te Au
2 1 1
Cartesian
0.0000 0.0000 0.0000 Cu
0.0000 1.9524 2.2019 Cu
1.9252 0.0000 2.1793 Te
0.0000 0.0000 4.3598 Au
```

Results
Space-group type = Imm2 (44)
ΔE_f (raw) = 0.17 eV per atom

---

The following is a SCAN calculation of a crystal of CuTeAu relaxed with PBEsol, from Alexandria.

Geometry as POSCAR:
```
CuTeAu
1.0
3.9464 0.0000 0.0000
-1.9732 3.4176 0.0000
0.0000 0.0000 4.3217
Cu Te Au
1 1 1
Cartesian
0.0000 0.0000 0.0000 Cu
0.0000 2.2784 3.0071 Te
1.9732 1.1392 1.2577 Au
```

Results
Space-group type = P3m1 (156)
ΔE_f (raw) = 0.08 eV per atom

---

The following is a SCAN calculation of a crystal of YCuTeAu2 relaxed with PBEsol, from Alexandria.

Geometry as POSCAR:
```
YCuTeAu2
1.0
4.6982 0.0000 0.0000
0.0000 4.6982 0.0000
0.0000 0.0000 5.1642
Y Cu Te Au
1 1 1 2
Cartesian
0.0000 0.0000 0.0000 Y
0.0000 0.0000 2.5821 Cu
2.3491 2.3491 0.0000 Te
0.0000 2.3491 2.5821 Au
2.3491 0.0000 2.5821 Au
```

Results
Space-group type = P4/mmm (123)
ΔE_f (raw) = -0.18 eV per atom

---

| no. | magnetic moment (μB/f.u.) |
| --- | --- |
| 1 | 0.0 |
| 2 | 0.0 |
| 3 | 0.0 |
| 4 | 0.0 |
| 5 | 0.0 |
| 6 | 0.0 |
| 7 | 0.0 |
| 8 | 0.0 |
| 9 | 0.0 |
| 10 | 0.0 |
| 11 | 0.0 |
| 12 | 0.0 |
| 13 | 0.0 |
| 14 | 0.0 |
| 15 | 0.0 |
| 16 | 0.0 |
| 17 | 0.0 |
| 18 | 0.0 |
| 19 | 0.0 |
| 20 | 0.0 |